Model a:
An optimized crystal structure of BeAlCo3, computed with PBE-GGA.

**Spin magnetization**: 0.40 μB per atom

Unit cell a=3.8406 b=3.8406 c=3.8406 alpha=90.00 beta=90.00 gamma=90.00
Space group Pm-3m (No. 221)
Unique sites:
1 Be 0.0000 0.0000 0.0000 (multiplicity 1)
2 Al 0.5000 0.5000 0.5000 (multiplicity 1)
3 Co 0.0000 0.0000 0.5000 (multiplicity 3)



Model b:
An optimized crystal structure of BeAlCo3, computed with PBE-GGA.

**Spin magnetization**: 0.59 μB per atom

Unit cell a=4.1922 b=4.1922 c=4.1922 alpha=90.00 beta=90.00 gamma=90.00
Space group Pm-3m (No. 221)
Unique sites:
1 Be 0.0000 0.0000 0.0000 (multiplicity 1)
2 Al 0.5000 0.5000 0.5000 (multiplicity 1)
3 Co 0.0000 0.5000 0.5000 (multiplicity 3)



Tell me which of them is the least stable. Sure, it is model b.



Model a:
An optimized crystal structure of BeAlCo, computed with PBE-GGA.

**Spin magnetization**: 0.00 μB per atom

Unit cell a=5.2387 b=5.2387 c=5.2387 alpha=90.00 beta=90.00 gamma=90.00
Space group F-43m (No. 216)
Unique sites:
1 Be 0.0000 0.0000 0.0000 (multiplicity 4)
2 Al 0.2500 0.2500 0.2500 (multiplicity 4)
3 Co 0.2500 0.2500 0.7500 (multiplicity 4)



Model b:
An optimized crystal structure of BeAlCo, computed with PBE-GGA.

**Spin magnetization**: 0.00 μB per atom

Unit cell a=7.7905 b=2.7393 c=6.2716 alpha=90.00 beta=90.00 gamma=90.00
Space group Pnma (No. 62)
Unique sites:
1 Be 0.1086 0.2500 0.0254 (multiplicity 4)
2 Al 0.1044 0.7500 0.3532 (multiplicity 4)
3 Co 0.1449 0.7500 0.7486 (multiplicity 4)



Model c:
An optimized crystal structure of BeAlCo, computed with PBE-GGA.

**Spin magnetization**: 0.11 μB per atom

Unit cell a=2.8033 b=2.8033 c=8.1094 alpha=90.00 beta=90.00 gamma=90.00
Space group I4mm (No. 107)
Unique sites:
1 Be 0.0000 0.0000 0.0000 (multiplicity 2)
2 Al 0.0000 0.0000 0.3099 (multiplicity 2)
3 Co 0.0000 0.0000 0.6296 (multiplicity 2)



Tell me which of them is the least stable. Sure, it is model a.



Model a:
An optimized crystal structure of BeAl3Co, computed with PBE-GGA.

**Spin magnetization**: 0.00 μB per atom

Unit cell a=4.4284 b=4.4284 c=4.4284 alpha=90.00 beta=90.00 gamma=90.00
Space group Pm-3m (No. 221)
Unique sites:
1 Be 0.0000 0.0000 0.0000 (multiplicity 1)
2 Al 0.0000 0.5000 0.5000 (multiplicity 3)
3 Co 0.5000 0.5000 0.5000 (multiplicity 1)



Model b:
An optimized crystal structure of BeAl3Co, computed with PBE-GGA.

**Spin magnetization**: 0.04 μB per atom

Unit cell a=4.1989 b=4.1989 c=4.1989 alpha=90.00 beta=90.00 gamma=90.00
Space group Pm-3m (No. 221)
Unique sites:
1 Be 0.0000 0.0000 0.0000 (multiplicity 1)
2 Al 0.0000 0.0000 0.5000 (multiplicity 3)
3 Co 0.5000 0.5000 0.5000 (multiplicity 1)



Tell me which of them is the least stable. Sure, it is model b.



Model a:
An optimized crystal structure of Be2AlCo2, computed with PBE-GGA.

**Spin magnetization**: 0.00 μB per atom

Unit cell a=2.8790 b=2.8790 c=12.4841 alpha=90.00 beta=90.00 gamma=90.00
Space group I4/mmm (No. 139)
Unique sites:
1 Be 0.0000 0.5000 0.2500 (multiplicity 4)
2 Al 0.0000 0.0000 0.0000 (multiplicity 2)
3 Co 0.0000 0.0000 0.3886 (multiplicity 4)



Model b:
An optimized crystal structure of Be2AlCo2, computed with PBE-GGA.

**Spin magnetization**: 0.00 μB per atom

Unit cell a=6.0455 b=6.0455 c=2.6580 alpha=90.00 beta=90.00 gamma=90.00
Space group P4/mbm (No. 127)
Unique sites:
1 Be 0.1212 0.3788 0.0000 (multiplicity 4)
2 Al 0.0000 0.0000 0.0000 (multiplicity 2)
3 Co 0.1724 0.6724 0.5000 (multiplicity 4)



Model c:
An optimized crystal structure of Be2AlCo2, computed with PBE-GGA.

**Spin magnetization**: 0.00 μB per atom

Unit cell a=6.1408 b=6.1408 c=2.7133 alpha=90.00 beta=90.00 gamma=90.00
Space group P4/mbm (No. 127)
Unique sites:
1 Be 0.1426 0.3574 0.0000 (multiplicity 4)
2 Al 0.0000 0.0000 0.5000 (multiplicity 2)
3 Co 0.1495 0.6495 0.5000 (multiplicity 4)



Tell me which of them is the least stable. Sure, it is model a.



Model a:
An optimized crystal structure of BeAlCr, computed with PBE-GGA.

**Spin magnetization**: 0.00 μB per atom

Unit cell a=3.9200 b=4.1747 c=8.5443 alpha=90.00 beta=90.00 gamma=90.00
Space group Ama2 (No. 40)
Unique sites:
1 Be 0.2500 0.1634 0.0000 (multiplicity 4)
2 Al 0.2500 0.2003 0.3295 (multiplicity 4)
3 Cr 0.2500 0.1710 0.6413 (multiplicity 4)



Model b:
An optimized crystal structure of BeAlCr, computed with PBE-GGA.

**Spin magnetization**: 0.00 μB per atom

Unit cell a=2.6120 b=2.6120 c=6.1467 alpha=90.00 beta=90.00 gamma=120.00
Space group P3m1 (No. 156)
Unique sites:
1 Be 0.0000 0.0000 0.0000 (multiplicity 1)
2 Al 0.3333 0.6667 0.6584 (multiplicity 1)
3 Cr 0.6667 0.3333 0.3083 (multiplicity 1)



Tell me which of them is the least stable. Sure, it is model b.



Model a:
An optimized crystal structure of BeAlCr, computed with PBE-GGA.

**Spin magnetization**: 0.00 μB per atom

Unit cell a=2.6102 b=3.1092 c=8.5711 alpha=90.00 beta=90.00 gamma=90.00
Space group Imm2 (No. 44)
Unique sites:
1 Be 0.0000 0.0000 0.0000 (multiplicity 2)
2 Al 0.0000 0.0000 0.3259 (multiplicity 2)
3 Cr 0.0000 0.0000 0.6404 (multiplicity 2)



Model b:
An optimized crystal structure of BeAlCr, computed with PBE-GGA.

**Spin magnetization**: 0.52 μB per atom

Unit cell a=3.9527 b=3.9527 c=2.6412 alpha=90.00 beta=90.00 gamma=120.00
Space group P-6m2 (No. 187)
Unique sites:
1 Be 0.0000 0.0000 0.0000 (multiplicity 1)
2 Al 0.3333 0.6667 0.0000 (multiplicity 1)
3 Cr 0.6667 0.3333 0.5000 (multiplicity 1)



Model c:
An optimized crystal structure of BeAlCr, computed with PBE-GGA.

**Spin magnetization**: 0.00 μB per atom

Unit cell a=3.0558 b=4.0000 c=11.5993 alpha=90.00 beta=90.00 gamma=90.00
Space group Fmm2 (No. 42)
Unique sites:
1 Be 0.0000 0.0000 0.0000 (multiplicity 4)
2 Al 0.0000 0.0000 0.6726 (multiplicity 4)
3 Cr 0.0000 0.0000 0.3479 (multiplicity 4)



Model d:
An optimized crystal structure of BeAlCr, computed with PBE-GGA.

**Spin magnetization**: 0.92 μB per atom

Unit cell a=5.4885 b=5.4885 c=5.4885 alpha=90.00 beta=90.00 gamma=90.00
Space group F-43m (No. 216)
Unique sites:
1 Be 0.0000 0.0000 0.0000 (multiplicity 4)
2 Al 0.2500 0.2500 0.7500 (multiplicity 4)
3 Cr 0.2500 0.2500 0.2500 (multiplicity 4)



Tell me which of them is the least stable. Sure, it is model d.



Model a:
An optimized crystal structure of Be2AlCr2, computed with PBE-GGA.

**Spin magnetization**: 0.00 μB per atom

Unit cell a=3.3991 b=3.3991 c=9.9571 alpha=90.00 beta=90.00 gamma=90.00
Space group I4/mmm (No. 139)
Unique sites:
1 Be 0.0000 0.0000 0.0984 (multiplicity 4)
2 Al 0.0000 0.0000 0.5000 (multiplicity 2)
3 Cr 0.0000 0.5000 0.2500 (multiplicity 4)



Model b:
An optimized crystal structure of Be2AlCr2, computed with PBE-GGA.

**Spin magnetization**: 0.60 μB per atom

Unit cell a=5.9638 b=5.9638 c=3.0403 alpha=90.00 beta=90.00 gamma=90.00
Space group P4/mbm (No. 127)
Unique sites:
1 Be 0.1191 0.3809 0.0000 (multiplicity 4)
2 Al 0.0000 0.0000 0.0000 (multiplicity 2)
3 Cr 0.1746 0.6746 0.5000 (multiplicity 4)



Tell me which of them is the least stable. Sure, it is model a.



Model a:
An optimized crystal structure of Be4AlCr, computed with PBE-GGA.

**Spin magnetization**: 0.00 μB per atom

Unit cell a=4.3266 b=4.3266 c=7.0115 alpha=90.00 beta=90.00 gamma=120.00
Space group P-3m1 (No. 164)
Unique sites:
1 Be 0.0000 0.0000 0.0000 (multiplicity 1)
2 Be 0.0000 0.0000 0.5000 (multiplicity 1)
3 Be 0.1683 0.3365 0.2407 (multiplicity 6)
4 Al 0.3333 0.6667 0.5778 (multiplicity 2)
5 Cr 0.3333 0.6667 0.9473 (multiplicity 2)



Model b:
An optimized crystal structure of Be4AlCr, computed with PBE-GGA.

**Spin magnetization**: 0.50 μB per atom

Unit cell a=6.1692 b=6.1692 c=6.1692 alpha=90.00 beta=90.00 gamma=90.00
Space group F-43m (No. 216)
Unique sites:
1 Be 0.1234 0.1234 0.1234 (multiplicity 16)
2 Al 0.0000 0.0000 0.5000 (multiplicity 4)
3 Cr 0.2500 0.2500 0.7500 (multiplicity 4)



Tell me which of them is the least stable. Sure, it is model b.



Model a:
An optimized crystal structure of Er2BeAl, computed with PBE-GGA.

**Spin magnetization**: 0.00 μB per atom

Unit cell a=3.4371 b=3.4371 c=7.0826 alpha=90.00 beta=90.00 gamma=90.00
Space group P4/mmm (No. 123)
Unique sites:
1 Er 0.0000 0.0000 0.2303 (multiplicity 2)
2 Be 0.5000 0.5000 0.0000 (multiplicity 1)
3 Al 0.5000 0.5000 0.5000 (multiplicity 1)



Model b:
An optimized crystal structure of Er2BeAl, computed with PBE-GGA.

**Spin magnetization**: 0.00 μB per atom

Unit cell a=3.3343 b=3.3343 c=31.0986 alpha=90.00 beta=90.00 gamma=120.00
Space group R-3m (No. 166, hexagonal axes)
Unique sites:
1 Er 0.0000 0.0000 0.0926 (multiplicity 6)
2 Be 0.0000 0.0000 0.0000 (multiplicity 3)
3 Al 0.0000 0.0000 0.5000 (multiplicity 3)



Tell me which of them is the least stable. Sure, it is model b.



Model a:
An optimized crystal structure of ErBeAl, computed with PBE-GGA.

**Spin magnetization**: 0.00 μB per atom

Unit cell a=4.2583 b=4.2583 c=3.5316 alpha=90.00 beta=90.00 gamma=120.00
Space group P-6m2 (No. 187)
Unique sites:
1 Er 0.0000 0.0000 0.0000 (multiplicity 1)
2 Be 0.3333 0.6667 0.5000 (multiplicity 1)
3 Al 0.6667 0.3333 0.5000 (multiplicity 1)



Model b:
An optimized crystal structure of ErBeAl, computed with PBE-GGA.

**Spin magnetization**: 0.04 μB per atom

Unit cell a=3.1063 b=3.1063 c=10.9543 alpha=90.00 beta=90.00 gamma=90.00
Space group I4mm (No. 107)
Unique sites:
1 Er 0.0000 0.0000 0.0000 (multiplicity 2)
2 Be 0.0000 0.0000 0.3218 (multiplicity 2)
3 Al 0.0000 0.0000 0.7062 (multiplicity 2)



Tell me which of them is the least stable. Sure, it is model b.



Model a:
An optimized crystal structure of BeAlFe3, computed with PBE-GGA.

**Spin magnetization**: 1.28 μB per atom

Unit cell a=4.2734 b=4.2734 c=4.2734 alpha=90.00 beta=90.00 gamma=90.00
Space group Pm-3m (No. 221)
Unique sites:
1 Be 0.0000 0.0000 0.0000 (multiplicity 1)
2 Al 0.5000 0.5000 0.5000 (multiplicity 1)
3 Fe 0.0000 0.5000 0.5000 (multiplicity 3)



Model b:
An optimized crystal structure of BeAlFe3, computed with PBE-GGA.

**Spin magnetization**: 1.03 μB per atom

Unit cell a=3.8983 b=3.8983 c=3.8983 alpha=90.00 beta=90.00 gamma=90.00
Space group Pm-3m (No. 221)
Unique sites:
1 Be 0.0000 0.0000 0.0000 (multiplicity 1)
2 Al 0.5000 0.5000 0.5000 (multiplicity 1)
3 Fe 0.0000 0.0000 0.5000 (multiplicity 3)



Tell me which of them is the least stable. Sure, it is model a.



Model a:
An optimized crystal structure of Be2AlFe2, computed with PBE-GGA.

**Spin magnetization**: 0.22 μB per atom

Unit cell a=5.8642 b=5.8642 c=2.8204 alpha=90.00 beta=90.00 gamma=90.00
Space group P4/mbm (No. 127)
Unique sites:
1 Be 0.1217 0.3783 0.0000 (multiplicity 4)
2 Al 0.0000 0.0000 0.0000 (multiplicity 2)
3 Fe 0.1715 0.6715 0.5000 (multiplicity 4)



Model b:
An optimized crystal structure of Be2AlFe2, computed with PBE-GGA.

**Spin magnetization**: 0.59 μB per atom

Unit cell a=6.2988 b=6.2988 c=2.6979 alpha=90.00 beta=90.00 gamma=90.00
Space group P4/mbm (No. 127)
Unique sites:
1 Be 0.1664 0.3336 0.0000 (multiplicity 4)
2 Al 0.0000 0.0000 0.5000 (multiplicity 2)
3 Fe 0.1287 0.6287 0.5000 (multiplicity 4)



Tell me which of them is the least stable. Sure, it is model b.